# 1
DFT (PBE) results for an optimized crystal structure of ThTlRe.

Results
N(E_F)   0.992 states/eV/atom
Calculated formation energy   -0.01 eV per atom
Symmetry   No. 166
Uncorrected energy   -7.420 eV per atom

Geometry as POSCAR:
```
ThTlRe
1.0
2.110 1.218 10.895
-2.110 1.218 10.895
0.000 -2.436 10.895
Th Tl Re
2 2 2
Cartesian
0.000 0.000 2.047
0.000 0.000 30.639
0.000 0.000 6.417
0.000 0.000 26.269
0.000 0.000 11.211
0.000 0.000 21.475
```


# 2
DFT (PBE) results for an optimized crystal structure of Cs4KBa.

Results
N(E_F)   1.120 states/eV/atom
Calculated formation energy   0.16 eV per atom
Symmetry   No. 216
Uncorrected energy   -0.913 eV per atom

Geometry as POSCAR:
```
Cs4KBa
1.0
0.000 6.622 6.622
6.622 0.000 6.622
6.622 6.622 0.000
Cs K Ba
4 1 1
Cartesian
1.656 1.656 1.656
4.966 4.966 1.656
4.966 1.656 4.966
1.656 4.966 4.966
6.622 6.622 6.622
9.933 9.933 9.933
```